{
  "formula": "Y2GaPb",
  "functional": "PBE",
  "state": "relaxed",
  "mass_density_g_cm3": 7.351,
  "total_magnetization_mub_per_fu": 0.0,
  "sg": "No. 123",
  "energy_ev_per_atom": -5.43,
  "lattice_angstrom": [[3.4548, 0.0000, 0.0000], [0.0000, 3.4548, 0.0000], [0.0000, 0.0000, 8.6058]],
  "species": ["Y", "Y", "Ga", "Pb"],
  "frac_coords": [[0.0000, 0.0000, 0.2245], [0.0000, 0.0000, 0.7755], [0.5000, 0.5000, 0.0000], [0.5000, 0.5000, 0.5000]]
}